## PaTiGa4 (PBE-GGA)

Data for PaTiGa4 after structural relaxation.

The structure in POSCAR format:
```
PaTiGa4
1.0
0.0000 3.7959 3.7959
3.7959 0.0000 3.7959
3.7959 3.7959 0.0000
Pa Ti Ga
1 1 4
Direct
0.0000 0.0000 0.0000 Pa
0.7500 0.7500 0.7500 Ti
0.3754 0.3754 0.3754 Ga
0.3754 0.3754 0.8739 Ga
0.3754 0.8739 0.3754 Ga
0.8739 0.3754 0.3754 Ga
```

Summary:
E_form ... -178 meV/atom
DFT total energy ... -5.094 eV per atom